DFT (PBE) results for a relaxed Bi2TeSe2 crystal.

Unit cell a=8.6810 b=8.6810 c=3.7278 alpha=90.00 beta=90.00 gamma=90.00
Last column: nearest neighbours and their distance in Å.
Space group P4/mbm (No. 127)
Unique sites:
Bi  0.1935  0.3065  0.0000 (multiplicity 4)  2 Se 2.86
Te  0.0000  0.0000  0.5000 (multiplicity 2)  4 Se 3.40, 8 Bi 3.66, 2 Te 3.73
Se  0.1302  0.6302  0.5000 (multiplicity 4)  2 Bi 2.86, 1 Se 3.20

Summary:
ΔE_f (raw) ... 0.09 eV per atom
Total DFT energy (no corrections) ... -34.83 eV per cell